VASP calculation (PBE) on a relaxed Cs2SrCeI6 crystal.

Structure (CIF):
```
data_Cs2SrCeI6
_chemical_formula_sum 'Cs4 Sr2 Ce2 I12'
_space_group_name_H-M_alt 'P m m n'
_space_group_IT_number 59
_cell_length_a 9.036
_cell_length_b 12.871
_cell_length_c 9.165
_cell_angle_alpha 90.00
_cell_angle_beta 90.00
_cell_angle_gamma 90.00
loop_
_space_group_symop_operation_xyz
'x,y,z'
'-x,-y,-z'
'-x+1/2,-y+1/2,z'
'x+1/2,y+1/2,-z'
'x+1/2,-y,-z'
'-x+1/2,y,z'
'-x,y+1/2,-z'
'x,-y+1/2,z'
loop_
_atom_site_label
_atom_site_fract_x
_atom_site_fract_y
_atom_site_fract_z
_atom_site_occupancy
Cs1 0.250 0.021 0.226 1
Sr1 0.250 0.250 0.740 1
Ce1 0.250 0.750 0.758 1
I1 0.001 0.750 0.008 1
I2 0.005 0.250 0.483 1
I3 0.250 0.501 0.760 1
```

Computed properties:
Crystal system: orthorhombic
Formation energy without anion corrections in meV/atom: -1426
Total DFT energy (no corrections) in eV/cell: -65.8
Total moment in μB per formula unit: 2.0